VASP calculation (GGA-PBE) on a relaxed structure of MgRe2Rh4.

Unit cell a=4.658 b=4.658 c=6.864 alpha=70.17 beta=70.17 gamma=90.00
Positions (direct):
Re 0.601 0.601 0.798
Re 0.399 0.399 0.202
Mg 0.000 0.000 0.000
Rh 0.795 0.795 0.409
Rh 0.205 0.205 0.591
Rh 0.000 0.500 0.000
Rh 0.500 0.000 0.000

Properties
* crystal system: tetragonal
* formation enthalpy at 0 K: 762 kJ/mol of formula units
* space-group type: I4/mmm (139)

=====

VASP calculation (GGA-PBE) on a relaxed structure of MgRe2Rh.

Unit cell a=5.230 b=5.230 c=5.230 alpha=144.70 beta=132.93 gamma=60.18
Positions (direct):
Mg 0.250 0.750 0.500
Re 0.000 0.000 0.000
Re 0.500 0.500 0.000
Rh 0.750 0.250 0.500

Properties
* crystal system: orthorhombic
* formation enthalpy at 0 K: 21 kJ/mol of formula units
* space-group type: Immm (71)

=====

VASP calculation (GGA-PBE) on a relaxed structure of MgReRh2.

Unit cell a=4.918 b=4.918 c=4.918 alpha=134.76 beta=134.76 gamma=65.91
Positions (direct):
Mg 0.500 0.500 0.000
Re 0.750 0.250 0.500
Rh 0.000 0.000 0.000
Rh 0.250 0.750 0.500

Properties
* crystal system: tetragonal
* formation enthalpy at 0 K: 4 kJ/mol of formula units
* space-group type: I-4m2 (119)

=====

VASP calculation (GGA-PBE) on a relaxed structure of MgReRh2.

Unit cell a=2.811 b=4.724 c=4.501 alpha=90.00 beta=90.00 gamma=90.00
Positions (direct):
Mg 0.500 0.000 0.500
Re 0.000 0.500 0.500
Rh 0.000 0.000 0.000
Rh 0.500 0.500 0.000

Properties
* crystal system: orthorhombic
* formation enthalpy at 0 K: 58 kJ/mol of formula units
* space-group type: Pmmm (47)

=====

VASP calculation (GGA-PBE) on a relaxed structure of MgRe2Rh.

Unit cell a=4.391 b=4.391 c=4.391 alpha=60.00 beta=60.00 gamma=60.00
Positions (direct):
Mg 0.500 0.500 0.500
Re 0.000 0.000 0.000
Re 0.250 0.250 0.250
Rh 0.750 0.750 0.750

Properties
* crystal system: cubic
* formation enthalpy at 0 K: 37 kJ/mol of formula units
* space-group type: F-43m (216)

=====

VASP calculation (GGA-PBE) on a relaxed structure of MgRe2Rh.

Unit cell a=2.731 b=2.731 c=9.048 alpha=90.00 beta=90.00 gamma=114.51
Positions (direct):
Mg 0.500 0.500 0.743
Re 0.000 0.000 0.009
Re 0.500 0.500 0.249
Rh 0.000 0.000 0.500

Properties
* crystal system: orthorhombic
* formation enthalpy at 0 K: 55 kJ/mol of formula units
* space-group type: Cmm2 (35)